Record 1
The following is a PBE calculation of a geometry-optimized Ru4C5 structure, from the Alexandria database.

D(E_F) (states/eV per cell): 9.33
Energy of formation (eV per atom): 1.301
ΔE to the lowest computed polymorph (meV/atom): 31

POSCAR file:
```
Ru4C5
1.0
6.190 0.000 0.000
-3.095 5.361 0.000
0.000 0.000 5.356
Ru C
8 10
direct
0.000 0.000 0.000 Ru
0.000 0.000 0.500 Ru
0.000 0.431 0.250 Ru
0.000 0.569 0.750 Ru
0.431 0.000 0.250 Ru
0.431 0.431 0.750 Ru
0.569 0.000 0.750 Ru
0.569 0.569 0.250 Ru
0.000 0.259 0.750 C
0.000 0.741 0.250 C
0.259 0.000 0.750 C
0.259 0.259 0.250 C
0.333 0.667 0.000 C
0.333 0.667 0.500 C
0.667 0.333 0.000 C
0.667 0.333 0.500 C
0.741 0.000 0.250 C
0.741 0.741 0.750 C
```

***

Record 2
The following is a PBE calculation of a geometry-optimized ZrRuPt2Cl structure, from the Alexandria database.

D(E_F) (states/eV per cell): 4.35
E_form (uncorrected) (eV/atom): 0.712

POSCAR file:
```
ZrRuPt2Cl
1.0
4.482 0.000 0.000
0.000 4.482 0.000
0.000 0.000 4.655
Zr Ru Pt Cl
1 1 2 1
direct
0.000 0.000 0.000 Zr
0.500 0.500 0.000 Ru
0.000 0.500 0.500 Pt
0.500 0.000 0.500 Pt
0.000 0.000 0.500 Cl
```

***

Record 3
The following is a PBE calculation of a geometry-optimized ScTc4Mo structure, from the Alexandria database.

D(E_F) (states/eV per cell): 8.38
Energy of formation (eV per atom): 0.000

POSCAR file:
```
ScTc4Mo
1.0
0.000 3.652 3.652
3.652 0.000 3.652
3.652 3.652 0.000
Sc Tc Mo
1 4 1
direct
0.000 0.000 0.000 Sc
0.124 0.625 0.625 Tc
0.625 0.124 0.625 Tc
0.625 0.625 0.124 Tc
0.625 0.625 0.625 Tc
0.250 0.250 0.250 Mo
```

***

Record 4
The following is a PBE calculation of a geometry-optimized NdSm2Th2 structure, from the Alexandria database.

D(E_F) (states/eV per cell): 7.43
Energy of formation (eV per atom): 0.021
ΔE to the lowest computed polymorph (meV/atom): 0

POSCAR file:
```
NdSm2Th2
1.0
1.808 1.044 14.760
-1.808 1.044 14.760
0.000 -2.087 14.760
Nd Sm Th
1 2 2
direct
0.000 0.000 0.000 Nd
0.402 0.402 0.402 Sm
0.598 0.598 0.598 Sm
0.199 0.199 0.199 Th
0.801 0.801 0.801 Th
```

***

Record 5
The following is a PBE calculation of a geometry-optimized PmZnSb2 structure, from the Alexandria database.

D(E_F) (states/eV per cell): 1.84
ΔE to the lowest computed polymorph (meV/atom): 104
E_form (uncorrected) (eV/atom): -0.453

POSCAR file:
```
PmZnSb2
1.0
4.022 0.000 0.000
0.000 4.022 0.000
0.000 0.000 6.306
Pm Zn Sb
1 1 2
direct
0.000 0.000 0.000 Pm
0.000 0.000 0.500 Zn
0.500 0.500 0.263 Sb
0.500 0.500 0.737 Sb
```

***

Record 6
The following is a PBE calculation of a geometry-optimized K2TaRe structure, from the Alexandria database.

D(E_F) (states/eV per cell): 3.04
Energy of formation (eV per atom): 0.899
ΔE to the lowest computed polymorph (meV/atom): 187

POSCAR file:
```
K2TaRe
1.0
1.704 -2.653 0.000
1.704 2.653 0.000
0.000 0.000 12.066
K Ta Re
2 1 1
direct
0.000 0.000 0.000 K
0.500 0.500 0.342 K
0.000 0.000 0.609 Ta
0.500 0.500 0.759 Re
```

***

Record 7
The following is a PBE calculation of a geometry-optimized MgTi3Fe structure, from the Alexandria database.

D(E_F) (states/eV per cell): 8.53
Energy of formation (eV per atom): 0.276
ΔE to the lowest computed polymorph (meV/atom): 0

POSCAR file:
```
MgTi3Fe
1.0
4.551 0.000 0.000
0.000 4.551 0.000
0.000 0.000 4.551
Mg Ti Fe
1 3 1
direct
0.000 0.000 0.000 Mg
0.000 0.500 0.500 Ti
0.500 0.000 0.500 Ti
0.500 0.500 0.000 Ti
0.500 0.500 0.500 Fe
```

***

Record 8
The following is a PBE calculation of a geometry-optimized Y4Tm2Sc3 structure, from the Alexandria database.

D(E_F) (states/eV per cell): 13.69
Energy of formation (eV per atom): 0.054
ΔE to the lowest computed polymorph (meV/atom): 0

POSCAR file:
```
Y4Tm2Sc3
1.0
7.335 -2.418 0.000
7.335 2.418 0.000
-2.448 0.000 7.374
Y Tm Sc
4 2 3
direct
0.052 0.052 0.332 Y
0.276 0.276 0.667 Y
0.724 0.724 0.333 Y
0.948 0.948 0.668 Y
0.165 0.165 0.999 Tm
0.835 0.835 0.001 Tm
0.390 0.390 0.329 Sc
0.500 0.500 0.000 Sc
0.610 0.610 0.671 Sc
```

***

Record 9
The following is a PBE calculation of a geometry-optimized Cr3OsPt structure, from the Alexandria database.

D(E_F) (states/eV per cell): 7.78
Energy of formation (eV per atom): 1.515
ΔE to the lowest computed polymorph (meV/atom): 0

POSCAR file:
```
Cr3OsPt
1.0
4.429 0.000 0.000
0.000 4.429 0.000
0.000 0.000 4.429
Cr Os Pt
3 1 1
direct
0.000 0.000 0.500 Cr
0.000 0.500 0.000 Cr
0.500 0.000 0.000 Cr
0.000 0.000 0.000 Os
0.500 0.500 0.500 Pt
```

***

Record 10
The following is a PBE calculation of a geometry-optimized CsKTlO structure, from the Alexandria database.

D(E_F) (states/eV per cell): 2.00
E_form (uncorrected) (eV/atom): -0.675

POSCAR file:
```
CsKTlO
1.0
3.857 0.000 0.000
0.000 2.712 6.280
0.000 -2.712 6.280
Cs K Tl O
1 1 1 1
direct
0.000 0.000 0.000 Cs
0.000 0.341 0.341 K
0.500 0.664 0.664 Tl
0.500 0.488 0.488 O
```

***

Record 11
The following is a PBE calculation of a geometry-optimized PrHoHgTe2 structure, from the Alexandria database.

D(E_F) (states/eV per cell): 7.13
E_form (uncorrected) (eV/atom): -1.069

POSCAR file:
```
PrHoHgTe2
1.0
4.388 0.000 0.000
0.000 4.388 0.000
0.000 0.000 15.440
Pr Ho Hg Te
2 2 2 4
direct
0.250 0.250 0.167 Pr
0.750 0.750 0.833 Pr
0.250 0.250 0.587 Ho
0.750 0.750 0.413 Ho
0.250 0.750 0.000 Hg
0.750 0.250 0.000 Hg
0.250 0.250 0.388 Te
0.250 0.250 0.788 Te
0.750 0.750 0.212 Te
0.750 0.750 0.612 Te
```

***

Record 12
The following is a PBE calculation of a geometry-optimized LuCuS2 structure, from the Alexandria database.

D(E_F) (states/eV per cell): 0.00
E_form (uncorrected) (eV/atom): -1.374

POSCAR file:
```
LuCuS2
1.0
3.859 0.000 0.000
-1.930 3.342 0.000
0.000 0.000 6.086
Lu Cu S
1 1 2
direct
0.000 0.000 0.000 Lu
0.333 0.667 0.392 Cu
0.333 0.667 0.771 S
0.667 0.333 0.266 S
```

***

Record 13
The following is a PBE calculation of a geometry-optimized Na2SnHPd structure, from the Alexandria database.

E (eV for the cell shown): -15.8
D(E_F) (states/eV per cell): 1.88

POSCAR file:
```
Na2SnHPd
1.0
4.848 0.000 0.000
0.000 4.848 0.000
0.000 0.000 3.767
Na Sn H Pd
2 1 1 1
direct
0.000 0.500 0.000 Na
0.500 0.000 0.000 Na
0.000 0.000 0.500 Sn
0.500 0.500 0.000 H
0.500 0.500 0.500 Pd
```

***

Record 14
The following is a PBE calculation of a geometry-optimized MoCl3 structure, from the Alexandria database.

D(E_F) (states/eV per cell): 0.82
ΔE to the lowest computed polymorph (meV/atom): 136
E_form (uncorrected) (eV/atom): -0.721

POSCAR file:
```
MoCl3
1.0
2.472 -6.566 0.000
2.472 6.566 0.000
0.000 0.000 3.656
Mo Cl
1 3
direct
0.000 0.000 0.000 Mo
0.127 0.873 0.500 Cl
0.500 0.500 0.000 Cl
0.873 0.127 0.500 Cl
```

***

Record 15
The following is a PBE calculation of a geometry-optimized Ho3Pu4S8 structure, from the Alexandria database.

D(E_F) (states/eV per cell): 30.33
E_form (uncorrected) (eV/atom): -1.878

POSCAR file:
```
Ho3Pu4S8
1.0
5.534 -5.541 0.000
5.534 5.541 0.000
-5.514 0.000 5.548
Ho Pu S
3 4 8
direct
0.000 0.000 0.000 Ho
0.000 0.500 0.500 Ho
0.500 0.000 0.500 Ho
0.000 0.000 0.500 Pu
0.000 0.500 0.000 Pu
0.500 0.000 0.000 Pu
0.500 0.500 0.000 Pu
0.248 0.248 0.998 S
0.249 0.751 0.000 S
0.250 0.250 0.495 S
0.250 0.750 0.500 S
0.750 0.250 0.500 S
0.750 0.750 0.505 S
0.751 0.249 0.000 S
0.752 0.752 0.002 S
```

***

Record 16
The following is a PBE calculation of a geometry-optimized ErPd2Au structure, from the Alexandria database.

D(E_F) (states/eV per cell): 2.80
Energy of formation (eV per atom): -0.697
ΔE to the lowest computed polymorph (meV/atom): 184

POSCAR file:
```
ErPd2Au
1.0
3.555 0.000 0.000
0.000 3.555 0.000
0.000 0.000 5.891
Er Pd Au
1 2 1
direct
0.000 0.000 0.000 Er
0.500 0.500 0.254 Pd
0.500 0.500 0.746 Pd
0.000 0.000 0.500 Au
```

***

Record 17
The following is a PBE calculation of a geometry-optimized Na4B7C structure, from the Alexandria database.

D(E_F) (states/eV per cell): 3.47
Energy of formation (eV per atom): 0.240
ΔE to the lowest computed polymorph (meV/atom): 18

POSCAR file:
```
Na4B7C
1.0
8.664 -2.986 0.000
8.664 2.986 0.000
-0.002 0.000 5.126
Na B C
8 14 2
direct
0.000 0.000 0.000 Na
0.000 0.500 0.500 Na
0.249 0.751 0.500 Na
0.250 0.250 0.001 Na
0.500 0.000 0.500 Na
0.500 0.500 0.000 Na
0.750 0.750 0.999 Na
0.751 0.249 0.500 Na
0.125 0.125 0.328 B
0.125 0.125 0.681 B
0.128 0.623 0.831 B
0.138 0.612 0.184 B
0.376 0.376 0.649 B
0.377 0.872 0.169 B
0.388 0.862 0.816 B
0.612 0.138 0.184 B
0.623 0.128 0.831 B
0.624 0.624 0.351 B
0.862 0.388 0.816 B
0.872 0.377 0.169 B
0.875 0.875 0.319 B
0.875 0.875 0.672 B
0.375 0.375 0.330 C
0.625 0.625 0.670 C
```

***

Record 18
The following is a PBE calculation of a geometry-optimized NaIn structure, from the Alexandria database.

D(E_F) (states/eV per cell): 1.13
Energy of formation (eV per atom): 0.503

POSCAR file:
```
NaIn
1.0
0.000 3.534 3.534
3.534 0.000 3.534
3.534 3.534 0.000
Na In
1 1
direct
0.000 0.000 0.000 Na
0.750 0.750 0.750 In
```

***

Record 19
The following is a PBE calculation of a geometry-optimized AgHg2Au structure, from the Alexandria database.

D(E_F) (states/eV per cell): 2.38
Energy of formation (eV per atom): 0.159

POSCAR file:
```
AgHg2Au
1.0
-3.952 3.952 2.893
3.952 -3.952 2.893
3.952 3.952 -2.893
Ag Hg Au
2 4 2
direct
0.000 0.000 0.000 Ag
0.750 0.250 0.500 Ag
0.129 0.625 0.004 Hg
0.375 0.379 0.504 Hg
0.621 0.125 0.996 Hg
0.875 0.871 0.496 Hg
0.250 0.750 0.500 Au
0.500 0.500 0.000 Au
```

***

Record 20
The following is a PBE calculation of a geometry-optimized TlCoCl structure, from the Alexandria database.

D(E_F) (states/eV per cell): 2.34
ΔE to the lowest computed polymorph (meV/atom): 106
E_form (uncorrected) (eV/atom): 0.181

POSCAR file:
```
TlCoCl
1.0
-1.577 1.577 6.711
1.577 -1.577 6.711
1.577 1.577 -6.711
Tl Co Cl
1 1 1
direct
0.000 0.000 0.000 Tl
0.670 0.670 0.000 Co
0.244 0.244 0.000 Cl
```

***

Record 21
The following is a PBE calculation of a geometry-optimized Pa2MoP structure, from the Alexandria database.

D(E_F) (states/eV per cell): 3.73
Energy of formation (eV per atom): -0.455
ΔE to the lowest computed polymorph (meV/atom): 0

POSCAR file:
```
Pa2MoP
1.0
3.626 0.000 0.000
0.000 3.626 0.000
0.000 0.000 6.134
Pa Mo P
2 1 1
direct
0.000 0.000 0.231 Pa
0.000 0.000 0.769 Pa
0.500 0.500 0.500 Mo
0.500 0.500 0.000 P
```

***

Record 22
The following is a PBE calculation of a geometry-optimized Li2TmIn3 structure, from the Alexandria database.

D(E_F) (states/eV per cell): 5.68
Energy of formation (eV per atom): -0.290
ΔE to the lowest computed polymorph (meV/atom): 45

POSCAR file:
```
Li2TmIn3
1.0
4.866 0.000 0.000
-2.433 4.214 0.000
0.000 0.000 13.047
Li Tm In
4 2 6
direct
0.333 0.667 0.101 Li
0.333 0.667 0.399 Li
0.667 0.333 0.601 Li
0.667 0.333 0.899 Li
0.000 0.000 0.250 Tm
0.000 0.000 0.750 Tm
0.000 0.000 0.000 In
0.000 0.000 0.500 In
0.333 0.667 0.634 In
0.333 0.667 0.866 In
0.667 0.333 0.134 In
0.667 0.333 0.366 In
```

***

Record 23
The following is a PBE calculation of a geometry-optimized Pr2Nd7Er2 structure, from the Alexandria database.

D(E_F) (states/eV per cell): 30.19
Energy of formation (eV per atom): 0.119
ΔE to the lowest computed polymorph (meV/atom): 0

POSCAR file:
```
Pr2Nd7Er2
1.0
4.505 -7.762 0.000
4.505 7.762 0.000
-2.785 0.000 10.939
Pr Nd Er
4 14 4
direct
0.086 0.344 0.488 Pr
0.344 0.086 0.988 Pr
0.656 0.914 0.012 Pr
0.914 0.656 0.512 Pr
0.085 0.915 0.250 Nd
0.088 0.234 0.090 Nd
0.234 0.088 0.590 Nd
0.236 0.661 0.073 Nd
0.339 0.764 0.427 Nd
0.388 0.439 0.862 Nd
0.439 0.388 0.362 Nd
0.561 0.612 0.638 Nd
0.612 0.561 0.138 Nd
0.661 0.236 0.573 Nd
0.764 0.339 0.927 Nd
0.766 0.912 0.410 Nd
0.912 0.766 0.910 Nd
0.915 0.085 0.750 Nd
0.087 0.547 0.756 Er
0.453 0.913 0.744 Er
0.547 0.087 0.256 Er
0.913 0.453 0.244 Er
```

***

Record 24
The following is a PBE calculation of a geometry-optimized CoPt5 structure, from the Alexandria database.

D(E_F) (states/eV per cell): 8.37
Energy of formation (eV per atom): 0.356

POSCAR file:
```
CoPt5
1.0
0.000 3.677 3.677
3.677 0.000 3.677
3.677 3.677 0.000
Co Pt
1 5
direct
0.000 0.000 0.000 Co
0.125 0.625 0.625 Pt
0.250 0.250 0.250 Pt
0.625 0.125 0.625 Pt
0.625 0.625 0.125 Pt
0.625 0.625 0.625 Pt
```

***

Record 25
The following is a PBE calculation of a geometry-optimized MnOsPdPt2 structure, from the Alexandria database.

D(E_F) (states/eV per cell): 8.67
Energy of formation (eV per atom): 1.580

POSCAR file:
```
MnOsPdPt2
1.0
4.498 0.000 0.000
0.000 4.498 0.000
0.000 0.000 4.429
Mn Os Pd Pt
1 1 1 2
direct
0.000 0.000 0.000 Mn
0.500 0.500 0.500 Os
0.000 0.000 0.500 Pd
0.000 0.500 0.000 Pt
0.500 0.000 0.000 Pt
```